(1)
NaMn2TlIn | PBE | relaxed

Properties
For the excess energy over the best structure of this formula in the dataset, the calculation gives 2.529 eV/f.u. The calculated density is 3.94 g/cm³.

a = 5.7598 Å, b = 5.7598 Å, c = 5.7388 Å
α = 90.00°, β = 90.00°, γ = 90.00°
With the nearest neighbours (Å) after each atom.
Sites, in units of the cell vectors:
1 Na 0.0000 0.0000 0.0000  2 In 2.87, 4 Mn 2.88
2 Mn 0.0000 0.5000 0.0000  2 Na 2.88
3 Mn 0.5000 0.0000 0.0000  2 Na 2.88
4 Tl 0.5000 0.5000 0.5000  8 Mn 4.07, 4 In 4.07
5 In 0.0000 0.0000 0.5000  2 Na 2.87

---

(2)
RbSeBr3 | PBE | relaxed

Properties
The calculated density is 2.58 g/cm³. For the uncorrected formation energy, the calculation gives -0.5527 eV/atom.

a = 12.6588 Å, b = 12.6588 Å, c = 5.7436 Å
α = 90.00°, β = 90.00°, γ = 145.65°
With the nearest neighbours (Å) after each atom.
Sites, in units of the cell vectors:
1 Rb 0.1262 0.8738 0.7500  6 Br 3.37-3.58
2 Rb 0.8738 0.1262 0.2500  6 Br 3.37-3.58
3 Se 0.3645 0.6355 0.7500  2 Br 2.45
4 Se 0.6355 0.3645 0.2500  2 Br 2.45
5 Br 0.0000 0.0000 0.0000  2 Br 2.87
6 Br 0.0000 0.0000 0.5000  2 Br 2.87
7 Br 0.0286 0.3986 0.7500  1 Se 2.45
8 Br 0.3986 0.0286 0.2500  1 Se 2.45
9 Br 0.6014 0.9714 0.7500  1 Se 2.45
10 Br 0.9714 0.6014 0.2500  1 Se 2.45

---

(3)
CsNaCd2 | PBE | relaxed

Properties
For the excess energy over the best structure of this formula in the dataset, the calculation gives 0.468 eV/f.u. The calculated density is 3.91 g/cm³.

a = 6.1150 Å, b = 6.1150 Å, c = 6.1150 Å
α = 60.00°, β = 60.00°, γ = 60.00°
With the nearest neighbours (Å) after each atom.
Sites, in units of the cell vectors:
1 Cs 0.0000 0.0000 0.0000  8 Cd 3.74
2 Na 0.5000 0.5000 0.5000  8 Cd 3.74
3 Cd 0.2500 0.2500 0.2500  4 Na 3.74, 4 Cs 3.74
4 Cd 0.7500 0.7500 0.7500  4 Cs 3.74, 4 Na 3.74